1.
Here is TcPdSe2 after structural relaxation from the Alexandria database. Energies are from PBEsol.

CIF file:
```
data_TcPdSe2
_space_group_name_H-M_alt 'P 1'
_space_group_IT_number 1
_cell_length_a 6.619
_cell_length_b 6.619
_cell_length_c 6.619
_cell_angle_alpha 128.95
_cell_angle_beta 128.95
_cell_angle_gamma 75.09
loop_
_space_group_symop_operation_xyz
'x,y,z'
loop_
_atom_site_label
_atom_site_type_symbol
_atom_site_fract_x
_atom_site_fract_y
_atom_site_fract_z
Tc1 Tc 0.000 0.000 0.000
Tc2 Tc 0.750 0.250 0.500
Pd1 Pd 0.250 0.750 0.500
Pd2 Pd 0.500 0.500 0.000
Se1 Se 0.109 0.625 0.984
Se2 Se 0.375 0.359 0.484
Se3 Se 0.641 0.125 0.016
Se4 Se 0.875 0.891 0.516
```

Summary:
SG	I-42d
total DFT energy (no corrections)	-6.2027	eV per atom
spin magnetization	0.00	μB/f.u.
E_form (uncorrected)	29	meV/atom
Fermi-level density of states	5.3	states/eV/cell

2.
Here is Mn2TlIn after structural relaxation from the Alexandria database. Energies are from PBEsol.

CIF file:
```
data_Mn2TlIn
_space_group_name_H-M_alt 'P 1'
_space_group_IT_number 1
_cell_length_a 5.301
_cell_length_b 5.301
_cell_length_c 5.301
_cell_angle_alpha 136.54
_cell_angle_beta 136.54
_cell_angle_gamma 63.15
loop_
_space_group_symop_operation_xyz
'x,y,z'
loop_
_atom_site_label
_atom_site_type_symbol
_atom_site_fract_x
_atom_site_fract_y
_atom_site_fract_z
Mn1 Mn 0.000 0.000 0.000
Mn2 Mn 0.750 0.250 0.500
Tl1 Tl 0.500 0.500 0.000
In1 In 0.250 0.750 0.500
```

Summary:
SG	I-4m2
total DFT energy (no corrections)	-5.8336	eV per atom
spin magnetization	6.28	μB/f.u.
Fermi-level density of states	1.9	states/eV/cell
energy of formation from the pure elements	0.450	eV per atom
polymorph energy (0 for the lowest one)	2.8	meV per atom

3.
Here is TlCdSeN2 after structural relaxation from the Alexandria database. Energies are from PBEsol.

CIF file:
```
data_TlCdSeN2
_space_group_name_H-M_alt 'P 1'
_space_group_IT_number 1
_cell_length_a 4.302
_cell_length_b 4.302
_cell_length_c 5.594
_cell_angle_alpha 90.00
_cell_angle_beta 90.00
_cell_angle_gamma 90.00
loop_
_space_group_symop_operation_xyz
'x,y,z'
loop_
_atom_site_label
_atom_site_type_symbol
_atom_site_fract_x
_atom_site_fract_y
_atom_site_fract_z
Tl1 Tl 0.000 0.000 0.000
Cd1 Cd 0.500 0.500 0.500
Se1 Se 0.500 0.500 0.000
N1 N 0.000 0.500 0.500
N2 N 0.500 0.000 0.500
```

Summary:
SG	P4/mmm
total DFT energy (no corrections)	-3.5054	eV per atom
spin magnetization	3.73	μB/f.u.
E_form (uncorrected)	1441	meV/atom
Fermi-level density of states	2.7	states/eV/cell

4.
Here is Y2MnMo after structural relaxation from the Alexandria database. Energies are from PBEsol.

CIF file:
```
data_Y2MnMo
_space_group_name_H-M_alt 'P 1'
_space_group_IT_number 1
_cell_length_a 5.804
_cell_length_b 5.804
_cell_length_c 5.804
_cell_angle_alpha 146.72
_cell_angle_beta 129.87
_cell_angle_gamma 61.51
loop_
_space_group_symop_operation_xyz
'x,y,z'
loop_
_atom_site_label
_atom_site_type_symbol
_atom_site_fract_x
_atom_site_fract_y
_atom_site_fract_z
Y1 Y 0.000 0.000 0.000
Y2 Y 0.716 0.216 0.500
Mn1 Mn 0.265 0.765 0.500
Mo1 Mo 0.423 0.423 0.000
```

Summary:
SG	Imm2
total DFT energy (no corrections)	-8.5422	eV per atom
spin magnetization	0.00	μB/f.u.
Fermi-level density of states	3.4	states/eV/cell
energy of formation from the pure elements	0.251	eV per atom
polymorph energy (0 for the lowest one)	39.0	meV per atom